Entry 1:
# Mn2ZnCl (PBE-GGA, optimized geometry)
data_Mn2ZnCl
_cell_length_a 3.0671
_cell_length_b 3.2937
_cell_length_c 6.7547
_cell_angle_alpha 90.00
_cell_angle_beta 90.00
_cell_angle_gamma 90.00
_space_group_name_H-M_alt 'P m m m'
_space_group_IT_number 47
_space_group_name_Hall '-P 2 2'
loop_
_atom_site_label
_atom_site_fract_x
_atom_site_fract_y
_atom_site_fract_z
_atom_site_occupancy
Mn1 0.0000 0.0000 0.2040 1
Zn1 0.5000 0.5000 0.0000 1
Cl1 0.5000 0.0000 0.5000 1
# **Energy above the most stable polymorph in this dataset**: 40.8 meV per atom
# **Formation energy from raw total energies**: 0.034 eV/atom
# **Total magnetization**: 7.38 Bohr magnetons per cell

---

Entry 2:
# MnZnCl2 (PBE-GGA, optimized geometry)
data_MnZnCl2
_cell_length_a 3.0109
_cell_length_b 3.0109
_cell_length_c 29.4140
_cell_angle_alpha 90.00
_cell_angle_beta 90.00
_cell_angle_gamma 120.00
_space_group_name_H-M_alt 'R -3 m'
_space_group_IT_number 166
_space_group_name_Hall '-R 3 2"'
loop_
_atom_site_label
_atom_site_fract_x
_atom_site_fract_y
_atom_site_fract_z
_atom_site_occupancy
Mn1 0.0000 0.0000 0.0000 1
Zn1 0.0000 0.0000 0.5000 1
Cl1 0.0000 0.0000 0.0711 1
# **Energy above the most stable polymorph in this dataset**: 824.6 meV per atom
# **Formation energy from raw total energies**: 0.245 eV/atom
# **Total magnetization**: 0.00 Bohr magnetons per cell